[1]
{
  "formula": "SbTeOsN2",
  "functional": "meta-GGA SCAN",
  "state": "PBEsol geometry",
  "cell": [[-3.1835, 0.0451, 2.3158], [-1.7504, -2.6247, -2.3552], [2.1910, -4.2379, 3.0945]],
  "species": ["Sb", "Te", "Os", "N", "N"],
  "fractional_positions": [[0.5000, 0.5000, 0.5000], [0.0000, 0.0000, 0.5000], [0.0000, 0.0000, 0.0000], [0.0000, 0.5000, 0.0000], [0.5000, 0.0000, 0.0000]],
  "sg": "P4/mmm, No. 123"
}


[2]
{
  "formula": "ScOs2N2",
  "functional": "meta-GGA SCAN",
  "state": "PBEsol geometry",
  "cell": [[3.7541, 0.0000, 0.0000], [0.0000, 3.7541, 0.0000], [-1.8771, -1.8771, 4.6093]],
  "species": ["Sc", "Os", "Os", "N", "N"],
  "fractional_positions": [[0.0000, 0.0000, 0.0000], [0.2500, 0.7500, 0.5000], [0.7500, 0.2500, 0.5000], [0.3520, 0.3520, 0.7039], [0.6480, 0.6480, 0.2961]],
  "sg": "I4/mmm, No. 139"
}


[3]
{
  "formula": "Sc3OsN",
  "functional": "meta-GGA SCAN",
  "state": "PBEsol geometry",
  "cell": [[-1.8011, -3.1261, 2.3179], [3.5555, -2.3603, -0.4205], [1.5824, 1.7452, 3.5832]],
  "species": ["Sc", "Sc", "Sc", "Os", "N"],
  "fractional_positions": [[0.0000, 0.5000, 0.0000], [0.0000, 0.0000, 0.5000], [0.5000, 0.0000, 0.0000], [0.5000, 0.5000, 0.5000], [0.0000, 0.0000, 0.0000]],
  "sg": "Pm-3m, No. 221"
}


[4]
{
  "formula": "SiOsSeN2",
  "functional": "meta-GGA SCAN",
  "state": "PBEsol geometry",
  "cell": [[-0.3444, 2.2201, -2.5789], [-0.2351, -2.6014, -2.2081], [-6.5865, -0.0875, 0.8043]],
  "species": ["Si", "Os", "Se", "N", "N"],
  "fractional_positions": [[0.0000, 0.0000, 0.0000], [0.5000, 0.5000, 0.5000], [0.0000, 0.0000, 0.5000], [0.0000, 0.5000, 0.0000], [0.5000, 0.0000, 0.0000]],
  "sg": "P4/mmm, No. 123"
}


[5]
{
  "formula": "SiOsSe2N",
  "functional": "meta-GGA SCAN",
  "state": "PBEsol geometry",
  "cell": [[3.1863, 0.0000, 0.0000], [0.0000, 4.8668, 0.0000], [0.0000, 0.0000, 4.8668]],
  "species": ["Si", "Os", "Se", "Se", "N"],
  "fractional_positions": [[0.0000, 0.0000, 0.0000], [0.5000, 0.5000, 0.5000], [0.0000, 0.0000, 0.5000], [0.0000, 0.5000, 0.0000], [0.5000, 0.0000, 0.0000]],
  "sg": "P4/mmm, No. 123"
}


[6]
{
  "formula": "TiOsSeN2",
  "functional": "meta-GGA SCAN",
  "state": "PBEsol geometry",
  "cell": [[-2.6919, -2.3080, 1.3374], [2.6322, -2.6060, 0.8010], [0.5881, 2.0399, 4.7043]],
  "species": ["N", "N", "Os", "Se", "Ti"],
  "fractional_positions": [[0.0000, 0.5000, 0.0000], [0.5000, 0.0000, 0.0000], [0.5000, 0.5000, 0.5000], [0.0000, 0.0000, 0.5000], [0.0000, 0.0000, 0.0000]],
  "sg": "P4/mmm, No. 123"
}


[7]
{
  "formula": "TlOsSeN2",
  "functional": "meta-GGA SCAN",
  "state": "PBEsol geometry",
  "cell": [[-0.4127, -2.0565, -3.2456], [3.1842, -2.0100, 0.8687], [-3.0024, -3.6043, 2.6656]],
  "species": ["Tl", "Os", "Se", "N", "N"],
  "fractional_positions": [[0.5000, 0.5000, 0.5000], [0.0000, 0.0000, 0.0000], [0.0000, 0.0000, 0.5000], [0.0000, 0.5000, 0.0000], [0.5000, 0.0000, 0.0000]],
  "sg": "P4/mmm, No. 123"
}


[8]
{
  "formula": "SiTcOs2N",
  "functional": "meta-GGA SCAN",
  "state": "PBEsol geometry",
  "cell": [[-3.7405, 0.0382, -1.3353], [-1.2382, -1.5895, 3.4229], [-0.5035, 3.6551, 1.5152]],
  "species": ["Si", "Os", "Os", "Tc", "N"],
  "fractional_positions": [[0.5000, 0.5000, 0.5000], [0.0000, 0.5000, 0.0000], [0.5000, 0.0000, 0.0000], [0.0000, 0.0000, 0.5000], [0.0000, 0.0000, 0.0000]],
  "sg": "P4/mmm, No. 123"
}


Number 1: raw formation energy 957 meV/atom. Number 2: raw formation energy 496 meV/atom. Number 3: raw formation energy -1007 meV/atom. Number 4: raw formation energy 1078 meV/atom. Number 5: raw formation energy 862 meV/atom. Number 6: raw formation energy 1006 meV/atom. Number 7: raw formation energy 601 meV/atom. Number 8: raw formation energy 528 meV/atom.